Compound: Cs3NbCo
Source: the Alexandria database
Functional: PBE-GGA
Structure: optimized geometry

- crystal system = cubic
- formation energy (eV/atom) = 1.712
- theoretical density (g cm⁻³) = 3.70

Cell: 6.276 6.276 6.276 Å, 90.00 90.00 90.00°
Last column: magnetic moment on the atom in μB.
Fractional positions:
Cs  0.000  0.500  0.000  0.02
Cs  0.000  0.000  0.500  0.02
Cs  0.500  0.000  0.000  0.02
Nb  0.500  0.500  0.500  3.12
Co  0.000  0.000  0.000  0.03